DFT (GGA-PBE) results for a geometry-optimized SmTm5Th4 structure.

a b c (Å): 11.0346 9.0922 6.7717
angles (deg): 90.00 90.00 90.00
Element x y z (fractional)
Sm: 0.3904 0.0000 0.0000
Sm: 0.6096 0.5000 0.5000
Tm: 0.1518 0.8131 0.7501
Tm: 0.1518 0.1869 0.7501
Tm: 0.0650 0.5000 0.0000
Tm: 0.1518 0.8131 0.2499
Tm: 0.1518 0.1869 0.2499
Tm: 0.8482 0.6869 0.2501
Tm: 0.8482 0.3131 0.2501
Tm: 0.9350 0.0000 0.5000
Tm: 0.8482 0.3131 0.7499
Tm: 0.8482 0.6869 0.7499
Th: 0.6733 0.0000 0.7608
Th: 0.5587 0.6823 0.0000
Th: 0.5587 0.3177 0.0000
Th: 0.6733 0.0000 0.2392
Th: 0.3267 0.5000 0.2608
Th: 0.4413 0.8177 0.5000
Th: 0.4413 0.1823 0.5000
Th: 0.3267 0.5000 0.7392

symmetry	Pmmn
formation energy	342	meV per atom
energy	-5.3331	eV/atom
volume	33.97	Å³ per atom
polymorph energy (0 for the lowest one)	0.2299	eV/atom